# La5Tb3Th2 (PBE-GGA, relaxed)
# Energy of formation (eV per atom): 0.185
# Total DFT energy (no corrections) (eV per cell): -206.05
# Magnetization (Bohr magnetons per cell): 0.00
# Crystal system: monoclinic
data_La5Tb3Th2
_cell_length_a 11.172
_cell_length_b 14.567
_cell_length_c 10.198
_cell_angle_alpha 90.00
_cell_angle_beta 122.99
_cell_angle_gamma 90.00
_symmetry_space_group_name_H-M 'C 1 2/c 1'
_symmetry_Int_Tables_number 15
loop_
_symmetry_equiv_pos_as_xyz
'x,y,z'
'-x,-y,-z'
'-x,y,-z+1/2'
'x,-y,z+1/2'
'x+1/2,y+1/2,z'
'-x+1/2,-y+1/2,-z'
'-x+1/2,y+1/2,-z+1/2'
'x+1/2,-y+1/2,z+1/2'
loop_
_atom_site_label
_atom_site_fract_x
_atom_site_fract_y
_atom_site_fract_z
La1 0.000 0.011 0.250
La2 0.000 0.221 0.250
La3 0.000 0.475 0.750
La4 0.248 0.371 0.247
Tb1 0.000 0.267 0.750
Tb2 0.149 0.374 0.554
Th1 0.158 0.125 0.062